DFT (PBE-GGA) results for a relaxed structure of ZnBiAs2.

Calculated values
density of states at the Fermi level	2.54	states/eV per cell
M_tot	0.0	μB per formula unit
offset from the most stable computed form	273.4	meV/atom
SG	No. 225
energy of formation from the pure elements	0.315	eV/atom

Cell: 5.0048 5.0048 5.0048 Å, 60.00 60.00 60.00°
Closest atoms and distances in Å follow each position.
Element x y z (fractional)
Zn  0.0000  0.0000  0.0000  8 As 3.06
Bi  0.5000  0.5000  0.5000  8 As 3.06
As  0.2500  0.2500  0.2500  4 Bi 3.06, 4 Zn 3.06
As  0.7500  0.7500  0.7500  4 Bi 3.06, 4 Zn 3.06